Entry 1:
Density functional theory data (PBE) for BaLi4Bi2 after structural relaxation.

Cell and atoms, written as POSCAR:
```
BaLi4Bi2
1.0
-0.623 -4.707 -1.028
8.727 -1.301 0.666
-0.921 -1.762 8.622
Ba Li Bi
2 8 4
Cartesian
-0.312 -2.354 -0.514
3.903 -1.531 4.644
0.546 -0.712 2.929
7.260 -2.350 6.359
0.603 -3.625 4.750
6.580 -4.145 3.510
2.434 -4.343 6.929
4.749 -3.427 1.331
2.809 -0.604 1.063
4.997 -2.458 8.225
1.166 -1.662 6.901
6.640 -1.401 2.387
5.280 -4.547 6.139
1.903 -3.222 2.121
```

SG: P4_2/mnm (136)
Energy relative to the elements: -0.63 eV/atom
Total energy: -3.10 eV per atom



Entry 2:
Density functional theory data (PBE) for CoSbPt2 after structural relaxation.

Cell and atoms, written as POSCAR:
```
CoSbPt2
1.0
8.989 0.027 0.016
8.493 2.946 0.016
8.493 1.444 2.567
Co Pt Sb
1 2 1
Cartesian
19.482 3.313 1.950
0.188 0.032 0.019
12.800 2.177 1.281
6.494 1.104 0.650
```

SG: R-3m (166)
Uncorrected formation energy: 0.185 eV/atom
Total energy: -5.64 eV per atom



Entry 3:
Density functional theory data (PBE) for PrPuAs2 after structural relaxation.

Cell and atoms, written as POSCAR:
```
PrPuAs2
1.0
4.183 0.000 0.000
-2.091 3.622 0.002
0.000 -0.004 7.280
Pr Pu As
1 1 2
Cartesian
-1.046 1.809 3.641
-1.046 1.811 0.001
1.046 3.016 5.556
1.046 0.603 1.726
```

SG: P-3m1 (164)
Energy relative to the elements: -1.05 eV/atom
Total energy: -8.16 eV per atom



Entry 4:
Density functional theory data (PBE) for Cr2SiRh after structural relaxation.

Cell and atoms, written as POSCAR:
```
Cr2SiRh
1.0
-1.874 -0.276 2.882
2.590 -1.693 1.522
1.566 3.623 1.365
Cr Rh Si
2 1 1
Cartesian
0.000 0.000 0.000
0.358 -0.985 2.202
-0.154 1.673 2.124
2.078 0.965 1.444
```

SG: P4/mmm (123)
Uncorrected formation energy: -0.215 eV/atom
Total energy: -8.22 eV per atom



Entry 5:
Density functional theory data (PBE) for RbGaI after structural relaxation.

Cell and atoms, written as POSCAR:
```
RbGaI
1.0
5.092 0.158 0.088
0.133 5.093 0.088
-2.047 -2.057 9.793
Ga I Rb
2 2 2
Cartesian
2.504 2.516 5.213
0.675 0.678 4.756
1.891 1.900 8.200
1.288 1.294 1.769
-0.751 -0.754 7.723
3.929 3.948 2.246
```

SG: C2/m (12)
Uncorrected formation energy: -0.619 eV/atom
Total energy: -2.47 eV per atom



Entry 6:
Density functional theory data (PBE) for LiZr5As6 after structural relaxation.

Cell and atoms, written as POSCAR:
```
LiZr5As6
1.0
-3.632 -5.525 -0.989
6.671 -0.384 0.206
-1.259 1.014 6.493
As Zr Li
6 5 1
Cartesian
-1.249 -2.042 1.212
-0.341 -4.535 4.106
-0.208 -0.678 4.709
1.988 -4.217 1.000
2.121 -0.360 1.603
3.030 -2.853 4.497
-2.550 -4.164 2.456
-0.185 -3.805 -0.589
0.890 -2.447 2.855
3.225 -2.104 -0.194
4.330 -0.731 3.254
0.000 0.000 0.000
```

SG: C2/m (12)
Energy relative to the elements: -1.04 eV/atom
Total energy: -7.09 eV per atom



Entry 7:
Density functional theory data (PBE) for Li2Ho2ScIn5 after structural relaxation.

Cell and atoms, written as POSCAR:
```
Li2Ho2ScIn5
1.0
4.384 0.000 0.000
0.000 10.109 0.000
0.000 0.000 10.109
Li Ho Sc In
4 4 2 10
Cartesian
0.000 1.200 6.254
0.000 8.909 3.855
0.000 6.254 8.909
0.000 3.855 1.200
0.000 6.837 1.783
0.000 3.271 8.326
0.000 1.783 3.271
0.000 8.326 6.837
0.000 0.000 0.000
0.000 5.054 5.054
2.192 2.084 0.721
2.192 8.024 9.388
2.192 0.721 8.024
2.192 7.139 4.334
2.192 9.388 2.084
2.192 2.970 5.775
2.192 5.775 7.139
2.192 4.334 2.970
2.192 5.054 0.000
2.192 0.000 5.054
```

SG: P4/mbm (127)
Energy relative to the elements: -0.35 eV/atom
Total energy: -3.65 eV per atom



Entry 8:
Density functional theory data (PBE) for KW after structural relaxation.

Cell and atoms, written as POSCAR:
```
KW
1.0
2.766 -0.004 0.000
-1.085 2.544 0.000
0.000 0.000 6.290
K W
1 1
Cartesian
0.000 0.000 0.000
0.841 1.270 3.145
```

SG: Cmmm (65)
Energy relative to the elements: 1.55 eV/atom
Total energy: -5.47 eV per atom